[1]
A relaxed RbZn2GaCo crystal. Source: Alexandria via LeMat-Bulk, functional PBE-GGA.

Calculated values
Energy of formation from the pure elements   0.0305 eV per atom
Volume   21.9 Å³/atom
Total magnetic moment   0.00 μB/cell

Structure (CIF):
```
data_RbZn2GaCo
_cell_length_a 4.8553
_cell_length_b 4.8553
_cell_length_c 4.6422
_cell_angle_alpha 90.00
_cell_angle_beta 90.00
_cell_angle_gamma 90.00
_symmetry_space_group_name_H-M 'P 4/m m m'
_symmetry_Int_Tables_number 123
_symmetry_space_group_name_Hall '-P 4 2'
loop_
_atom_site_label
_atom_site_fract_x
_atom_site_fract_y
_atom_site_fract_z
Rb1 0.0000 0.0000 0.0000
Zn1 0.0000 0.5000 0.5000
Ga1 0.5000 0.5000 0.0000
Co1 0.5000 0.5000 0.5000
```

=====

[2]
A relaxed Dy2ZrSi2Rh5 crystal. Source: Alexandria via LeMat-Bulk, functional PBE-GGA.

Calculated values
ΔE_f (raw)   -996 meV/atom
Volume   17.1 Å³/atom
Total magnetic moment   0.00 μB/cell

Structure (CIF):
```
data_Dy2ZrSi2Rh5
_cell_length_a 9.7891
_cell_length_b 9.7891
_cell_length_c 3.5678
_cell_angle_alpha 90.00
_cell_angle_beta 90.00
_cell_angle_gamma 90.00
_symmetry_space_group_name_H-M 'P 4/m b m'
_symmetry_Int_Tables_number 127
_symmetry_space_group_name_Hall '-P 4 2ab'
loop_
_atom_site_label
_atom_site_fract_x
_atom_site_fract_y
_atom_site_fract_z
Dy1 0.1744 0.3256 0.0000
Zr1 0.0000 0.0000 0.0000
Si1 0.1221 0.6221 0.0000
Rh1 0.0000 0.5000 0.5000
Rh2 0.0697 0.7845 0.5000
```